Record 1
First-principles (meta-GGA SCAN) data for a crystal of Zr17Re12 relaxed with PBEsol, as listed in Alexandria.

a = 8.873 Å, b = 8.873 Å, c = 8.873 Å
α = 109.47°, β = 109.47°, γ = 109.47°
Element x y z (fractional)
Zr: 0.000 0.000 0.000
Zr: 0.000 0.000 0.369
Zr: 0.000 0.324 0.606
Zr: 0.000 0.369 0.000
Zr: 0.000 0.606 0.324
Zr: 0.282 0.676 0.676
Zr: 0.324 0.000 0.606
Zr: 0.324 0.606 0.000
Zr: 0.369 0.000 0.000
Zr: 0.394 0.394 0.718
Zr: 0.394 0.718 0.394
Zr: 0.606 0.000 0.324
Zr: 0.606 0.324 0.000
Zr: 0.631 0.631 0.631
Zr: 0.676 0.282 0.676
Zr: 0.676 0.676 0.282
Zr: 0.718 0.394 0.394
Re: 0.000 0.642 0.820
Re: 0.000 0.820 0.642
Re: 0.178 0.358 0.358
Re: 0.180 0.180 0.822
Re: 0.180 0.822 0.180
Re: 0.358 0.178 0.358
Re: 0.358 0.358 0.178
Re: 0.642 0.000 0.820
Re: 0.642 0.820 0.000
Re: 0.820 0.000 0.642
Re: 0.820 0.642 0.000
Re: 0.822 0.180 0.180

Computed properties:
- Energy relative to the elements: -281 meV/atom



Record 2
First-principles (meta-GGA SCAN) data for a crystal of CaH2RuRh relaxed with PBEsol, as listed in Alexandria.

a = 3.622 Å, b = 3.622 Å, c = 5.072 Å
α = 90.00°, β = 90.00°, γ = 90.00°
Element x y z (fractional)
Ca: 0.000 0.000 0.000
H: 0.000 0.500 0.500
H: 0.500 0.000 0.500
Ru: 0.500 0.500 0.000
Rh: 0.000 0.000 0.500

Computed properties:
- Final energy: -16.112 eV/atom



Record 3
First-principles (meta-GGA SCAN) data for a crystal of KBa2W2 relaxed with PBEsol, as listed in Alexandria.

a = 13.574 Å, b = 13.574 Å, c = 13.574 Å
α = 164.30°, β = 164.30°, γ = 22.27°
Element x y z (fractional)
K: 0.000 0.000 0.000
Ba: 0.355 0.355 0.000
Ba: 0.645 0.645 0.000
W: 0.250 0.750 0.500
W: 0.750 0.250 0.500

Computed properties:
- Energy relative to the elements: 848 meV/atom



Record 4
First-principles (meta-GGA SCAN) data for a crystal of AlPPd4 relaxed with PBEsol, as listed in Alexandria.

a = 6.601 Å, b = 3.358 Å, c = 11.383 Å
α = 90.00°, β = 90.01°, γ = 90.00°
Element x y z (fractional)
Al: 0.000 0.000 0.000
Al: 0.002 0.000 0.333
Al: 0.502 0.000 0.834
P: 0.007 0.500 0.667
P: 0.499 0.500 0.167
P: 0.506 0.000 0.500
Pd: 0.110 0.500 0.169
Pd: 0.198 0.500 0.861
Pd: 0.199 0.500 0.470
Pd: 0.267 0.000 0.660
Pd: 0.372 0.000 0.039
Pd: 0.378 0.000 0.303
Pd: 0.605 0.500 0.660
Pd: 0.694 0.500 0.369
Pd: 0.699 0.500 0.969
Pd: 0.757 0.000 0.169
Pd: 0.868 0.000 0.537
Pd: 0.871 0.000 0.792

Computed properties:
- Energy relative to the elements: -734 meV/atom



Record 5
First-principles (meta-GGA SCAN) data for a crystal of ReTc8 relaxed with PBEsol, as listed in Alexandria.

a = 6.064 Å, b = 6.064 Å, c = 6.064 Å
α = 95.73°, β = 95.73°, γ = 143.17°
Element x y z (fractional)
Re: 0.000 0.000 0.000
Tc: 0.000 0.334 0.334
Tc: 0.000 0.666 0.666
Tc: 0.333 0.333 0.666
Tc: 0.333 0.667 0.000
Tc: 0.334 0.000 0.334
Tc: 0.666 0.000 0.666
Tc: 0.667 0.333 0.000
Tc: 0.667 0.667 0.334

Computed properties:
- Energy relative to the elements: 56 meV/atom



Record 6
First-principles (meta-GGA SCAN) data for a crystal of HgRu relaxed with PBEsol, as listed in Alexandria.

a = 5.723 Å, b = 5.723 Å, c = 5.723 Å
α = 151.26°, β = 130.66°, γ = 58.10°
Element x y z (fractional)
Hg: 0.360 0.110 0.250
Hg: 0.640 0.890 0.750
Ru: 0.102 0.352 0.750
Ru: 0.898 0.648 0.250

Computed properties:
- Energy relative to the elements: 601 meV/atom



Record 7
First-principles (meta-GGA SCAN) data for a crystal of KNiAs2 relaxed with PBEsol, as listed in Alexandria.

a = 5.526 Å, b = 5.526 Å, c = 5.526 Å
α = 135.85°, β = 119.12°, γ = 78.22°
Element x y z (fractional)
K: 0.000 0.000 0.000
Ni: 0.457 0.957 0.500
As: 0.366 0.366 0.000
As: 0.711 0.211 0.500

Computed properties:
- Energy relative to the elements: 54 meV/atom
- Relative energy among the computed polymorphs: 1.83 eV per formula unit



Record 8
First-principles (meta-GGA SCAN) data for a crystal of LaSiOs2 relaxed with PBEsol, as listed in Alexandria.

a = 5.358 Å, b = 5.358 Å, c = 2.903 Å
α = 105.37°, β = 105.37°, γ = 112.59°
Element x y z (fractional)
La: 0.000 0.000 0.000
Si: 0.500 0.500 0.000
Os: 0.000 0.500 0.500
Os: 0.500 0.000 0.500

Computed properties:
- E_form (uncorrected): 50 kJ/mol of atoms



The records above give, respectively, DOS at the Fermi energy values of 0.711; 0.470; 0.630; 0.187; 0.894; 0.686; 0.352; 0.690 states/eV per atom.
The records above give, respectively, total moment values of 0.00; 1.61; 0.00; 0.00; 0.00; 1.79; 0.00; 0.00 μB/cell.